A relaxed CsNaOsF6 crystal, computed with PBE.

Output
ΔE_f (raw) = -2.240 eV per atom

Lattice parameters (Å, degrees): 6.2593 5.8896 5.8896 120.00 90.00 90.00
Closest atoms and distances in Å follow each position.
Positions (direct):
F  0.3233  0.7294  0.0156  1 Os 1.98
Os  0.5000  0.0000  0.0000  6 F 1.98
F  0.6767  0.7294  0.7138  1 Os 1.98
Cs  0.0000  0.3333  0.6667  6 F 2.99
F  0.6767  0.9844  0.2706  1 Os 1.98
F  0.6767  0.2862  0.0156  1 Os 1.98
F  0.3233  0.9844  0.7138  1 Os 1.98
F  0.3233  0.2862  0.2706  1 Os 1.98
Na  0.5000  0.6667  0.3333  6 F 2.36